Entry 1:
A plane-wave DFT calculation with GGA-PBE was carried out for a relaxed structure of ZrTi3Co.

abc: 5.2665 6.2239 6.2228
angles: 120.00 90.00 90.00
Element x y z (fractional)
Ti 0.7500 0.1842 0.3682
Ti 0.2500 0.3682 0.1841
Ti 0.7500 0.1842 0.8160
Co 0.5000 0.0000 0.0000
Ti 0.7500 0.6318 0.8159
Co 0.0000 0.0000 0.0000
Zr 0.7499 0.6669 0.3335
Ti 0.2500 0.8158 0.1840
Ti 0.2500 0.8158 0.6318
Zr 0.2501 0.3331 0.6665

Summary:
The calculated total energy comes out at -78.17 eV for the cell shown.

***

Entry 2:
A plane-wave DFT calculation with GGA-PBE was carried out for a relaxed structure of ZrTiCo5.

abc: 4.1300 4.1300 5.6415
angles: 90.00 90.00 90.00
Element x y z (fractional)
Zr 0.0000 0.0000 0.5000
Co 0.5000 0.5000 0.5000
Ti 0.5000 0.5000 0.0000
Co 0.5000 0.0000 0.7712
Co 0.0000 0.5000 0.7712
Co 0.5000 0.0000 0.2288
Co 0.0000 0.5000 0.2288

Summary:
The calculated total energy comes out at -51.14 eV for the cell shown.

***

Entry 3:
A plane-wave DFT calculation with GGA-PBE was carried out for a relaxed structure of ZrTi5Co6.

abc: 4.2129 6.1743 6.6733
angles: 90.00 108.53 90.00
Element x y z (fractional)
Ti 0.6714 0.0000 0.3426
Co 0.8288 0.2605 0.6578
Co 0.5000 0.2673 0.0000
Co 0.1712 0.2605 0.3422
Ti 0.3334 0.5000 0.6668
Ti 0.3286 0.0000 0.6574
Ti 0.6666 0.5000 0.3332
Co 0.8288 0.7395 0.6578
Zr 0.0000 0.0000 0.0000
Ti 0.0000 0.5000 0.0000
Co 0.1712 0.7395 0.3422
Co 0.5000 0.7327 0.0000

Summary:
The calculated total energy comes out at -94.86 eV for the cell shown.

***

> Which value of calculated total energy does entry 2 give?

-51.14 eV for the cell shown